Here is a geometry-optimized RuSe structure from the Alexandria database. Energies are from PBE-GGA.

- uncorrected formation energy (kcal/mol of atoms) = 3.70
- VASP energy (eV per atom) = -6.2195
- spin magnetization (μB/f.u.) = 0.0

CIF file:
```
data_RuSe
_cell_length_a 3.6468
_cell_length_b 3.6468
_cell_length_c 7.1241
_cell_angle_alpha 90.00
_cell_angle_beta 90.00
_cell_angle_gamma 120.00
_space_group_name_H-M_alt 'P 63 m c'
_space_group_IT_number 186
_space_group_name_Hall 'P 6c -2c'
loop_
_atom_site_label
_atom_site_fract_x
_atom_site_fract_y
_atom_site_fract_z
Ru1 0.3333 0.6667 0.0000
Se1 0.3333 0.6667 0.6525
```